No. 1
The following is a PBE calculation of a relaxed structure of BeMoBr2, from Alexandria.

```
BeMoBr2
1.0
1.610 0.929 9.598
-1.610 0.929 9.598
0.000 -1.859 9.598
Be Mo Br
1 1 2
direct
0.000 0.000 0.000
0.500 0.500 0.500
0.231 0.231 0.231
0.769 0.769 0.769
```

Calculated values
For the formation energy from raw total energies, the calculation gives 0.6612 eV per atom. The value obtained for the total energy is -3.815 eV per atom. As for the space group: No. 166. As for the spin magnetization: 0.00 μB per cell. Its energy relative to the lowest polymorph listed for this composition is 632.8 meV per atom.

No. 2
The following is a PBE calculation of a relaxed structure of Pr2Sm2YEr2, from Alexandria.

```
Pr2Sm2YEr2
1.0
5.717 -2.555 0.000
5.717 2.555 0.000
-1.163 0.000 7.988
Pr Sm Y Er
2 2 1 2
direct
0.143 0.143 0.428
0.857 0.857 0.572
0.429 0.429 0.281
0.571 0.571 0.719
0.000 0.000 0.000
0.285 0.285 0.861
0.715 0.715 0.139
```

Calculated values
The value obtained for the total energy is -4.920 eV per atom. As for the space group: No. 12. As for the spin magnetization: 0.00 μB per cell. Its energy of formation from the pure elements is 0.0210 eV/atom.

No. 3
The following is a PBE calculation of a relaxed structure of DySi2IrOs, from Alexandria.

```
DySi2IrOs
1.0
-2.072 2.072 4.872
2.072 -2.072 4.872
2.072 2.072 -4.872
Dy Si Ir Os
1 2 1 1
direct
0.000 0.000 0.000
0.374 0.374 0.000
0.626 0.626 0.000
0.750 0.250 0.500
0.250 0.750 0.500
```

Calculated values
For the formation energy from raw total energies, the calculation gives -0.9259 eV per atom. The value obtained for the total energy is -8.034 eV per atom. As for the space group: No. 119. As for the spin magnetization: 0.00 μB per cell.

No. 4
The following is a PBE calculation of a relaxed structure of SmTm4Zr, from Alexandria.

```
SmTm4Zr
1.0
3.455 0.000 0.000
-0.020 6.971 0.000
-1.719 -1.745 7.266
Sm Tm Zr
1 4 1
direct
0.000 0.000 0.000
0.337 0.180 0.675
0.339 0.659 0.678
0.661 0.341 0.322
0.663 0.820 0.325
0.000 0.500 0.000
```

Calculated values
The value obtained for the total energy is -5.131 eV per atom. As for the space group: No. 2. As for the spin magnetization: 0.00 μB per cell. Its energy relative to the lowest polymorph listed for this composition is 0.0 meV per atom. Its energy of formation from the pure elements is 0.0610 eV/atom.

Which value of spin magnetization does entry 4 give?
0.00 μB per cell

What is the formula in the first record?
BeMoBr2